# 1
{
  "formula": "BeBRu",
  "functional": "GGA-PBEsol",
  "state": "relaxed",
  "lattice": [[3.810, -1.516, 0.000], [3.810, 1.516, 0.000], [-2.948, 0.000, 4.573]],
  "species": ["Be", "Be", "B", "B", "Ru", "Ru"],
  "fractional_positions": [[0.181, 0.181, 0.081], [0.819, 0.819, 0.919], [0.138, 0.138, 0.662], [0.862, 0.862, 0.338], [0.441, 0.441, 0.693], [0.559, 0.559, 0.307]],
  "total_magnetization_mub_per_cell": 0.00,
  "spacegroup": "C2/m (12)",
  "ef_ev_per_atom": -0.39,
  "energy_ev_per_atom": -7.4535
}

***

# 2
{
  "formula": "BeB3Ru",
  "functional": "GGA-PBEsol",
  "state": "relaxed",
  "lattice": [[4.008, 0.000, 0.000], [0.000, 4.008, 0.000], [0.000, 0.000, 4.008]],
  "species": ["Be", "B", "B", "B", "Ru"],
  "fractional_positions": [[0.000, 0.000, 0.000], [0.000, 0.500, 0.500], [0.500, 0.000, 0.500], [0.500, 0.500, 0.000], [0.500, 0.500, 0.500]],
  "total_magnetization_mub_per_cell": 0.00,
  "spacegroup": "Pm-3m (221)",
  "ef_ev_per_atom": 1.39,
  "energy_ev_per_atom": -5.6526
}